# 1
TbDy7Mg2: relaxed, GGA-PBE.

Summary:
Volume = 37.5 Å³ per atom
Energy of formation = 56.00 kJ per mole of atoms
DFT total energy = -34.230 eV/cell
Magnetic moment = 0.0 μB/f.u.

a = 5.2538 Å, b = 9.2560 Å, c = 9.2560 Å
α = 123.61°, β = 90.00°, γ = 90.00°
Last column: nearest neighbours and their distance in Å.
Atoms (fractional coordinates):
1 Dy 0.5000 0.0694 0.2949  2 Mg 3.13-3.42, 4 Dy 3.19-3.46
2 Dy 0.5000 0.9306 0.7051  2 Mg 3.13-3.42, 4 Dy 3.19-3.46
3 Dy 0.0000 0.2100 0.7900  2 Mg 3.00
4 Dy 0.5000 0.7051 0.9306  2 Mg 3.13-3.42, 4 Dy 3.19-3.46
5 Dy 0.0000 0.7900 0.2100  2 Mg 3.00
6 Dy 0.5000 0.2949 0.0694  2 Mg 3.13-3.42, 4 Dy 3.19-3.46
7 Dy 0.5000 0.5000 0.5000  2 Mg 3.29, 4 Dy 3.33
8 Mg 0.5000 0.2985 0.7015  5 Dy 3.00-3.29
9 Mg 0.5000 0.7015 0.2985  5 Dy 3.00-3.29
10 Tb 0.0000 0.0000 0.0000  10 Dy 3.43-3.58

***

# 2
TbDyMg: relaxed, GGA-PBE.

Summary:
Volume = 30.3 Å³ per atom
Excess energy over the best structure of this formula in the dataset = 102 kJ/mol of formula units
Energy of formation = 30.17 kJ per mole of atoms
DFT total energy = -9.889 eV/cell
Magnetic moment = 0.0 μB/f.u.

a = 4.6040 Å, b = 4.6040 Å, c = 4.6040 Å
α = 76.80°, β = 76.80°, γ = 76.80°
Last column: nearest neighbours and their distance in Å.
Atoms (fractional coordinates):
1 Tb 0.0560 0.0560 0.0560  4 Mg 3.03-3.31, 3 Dy 3.32
2 Mg 0.3713 0.3713 0.3713  4 Dy 3.03-3.31, 4 Tb 3.03-3.31
3 Dy 0.6859 0.6859 0.6859  4 Mg 3.03-3.31, 3 Tb 3.32